# 1
{
  "formula": "Pm3UB2Rh9",
  "functional": "PBE-GGA",
  "state": "relaxed",
  "lattice_angstrom": [[5.9432, 0.0000, 0.0000], [-2.9716, 5.1469, 0.0000], [0.0000, 0.0000, 8.6045]],
  "species": ["Pm", "Pm", "Pm", "U", "B", "B", "Rh", "Rh", "Rh", "Rh", "Rh", "Rh", "Rh", "Rh", "Rh"],
  "fractional_positions": [[0.0000, 0.0000, 0.0000], [0.3333, 0.6667, 0.6569], [0.6667, 0.3333, 0.3431], [0.0000, 0.0000, 0.5000], [0.3333, 0.6667, 0.1425], [0.6667, 0.3333, 0.8575], [0.0000, 0.5000, 0.0000], [0.1651, 0.3302, 0.2846], [0.1651, 0.8349, 0.2846], [0.3302, 0.1651, 0.7154], [0.5000, 0.0000, 0.0000], [0.5000, 0.5000, 0.0000], [0.6698, 0.8349, 0.2846], [0.8349, 0.1651, 0.7154], [0.8349, 0.6698, 0.7154]],
  "space_group": "No. 164",
  "total_magnetization_mub_per_fu": 0.00,
  "e_form_mev_per_atom": -595,
  "dft_energy_ha_per_atom": -0.2792
}

# 2
{
  "formula": "PmZn2BRh2",
  "functional": "PBE-GGA",
  "state": "relaxed",
  "lattice_angstrom": [[4.1430, 0.0000, 0.0000], [0.0000, 4.1430, 0.0000], [0.0000, 0.0000, 5.6654]],
  "species": ["Pm", "Zn", "Zn", "B", "Rh", "Rh"],
  "fractional_positions": [[0.0000, 0.0000, 0.0000], [0.5000, 0.5000, 0.2198], [0.5000, 0.5000, 0.7802], [0.0000, 0.0000, 0.5000], [0.0000, 0.5000, 0.5000], [0.5000, 0.0000, 0.5000]],
  "space_group": "No. 123",
  "total_magnetization_mub_per_fu": 0.00,
  "e_form_mev_per_atom": -564,
  "dft_energy_ha_per_atom": -0.1964
}

# 3
{
  "formula": "Pm2Zn2BRh4",
  "functional": "PBE-GGA",
  "state": "relaxed",
  "lattice_angstrom": [[-3.0623, 3.0623, 3.9676], [3.0623, -3.0623, 3.9676], [3.0623, 3.0623, -3.9676]],
  "species": ["Pm", "Pm", "Zn", "Zn", "B", "Rh", "Rh", "Rh", "Rh"],
  "fractional_positions": [[0.2500, 0.7500, 0.5000], [0.7500, 0.2500, 0.5000], [0.2022, 0.2022, 0.0000], [0.7978, 0.7978, 0.0000], [0.5000, 0.5000, 0.0000], [0.2544, 0.2544, 0.5089], [0.2544, 0.7456, 0.0000], [0.7456, 0.2544, 0.0000], [0.7456, 0.7456, 0.4911]],
  "space_group": "No. 139",
  "total_magnetization_mub_per_fu": 0.00,
  "e_form_mev_per_atom": -587,
  "dft_energy_ha_per_atom": -0.2181
}